DFT (PBE-GGA) results for a geometry-optimized LaHoEr6 structure.

Results
Total DFT energy (no corrections) (eV for the cell shown): -35.23
Energy above the most stable polymorph in this dataset (eV/atom): 0.000

Cell lengths 6.509, 6.534, 7.440 Å; angles 114.76, 115.20, 90.45 degrees
Element x y z (fractional)
La 0.000 0.000 0.000
Ho 0.500 0.000 0.000
Er 0.237 0.561 0.472
Er 0.252 0.501 0.998
Er 0.269 0.089 0.535
Er 0.731 0.911 0.465
Er 0.748 0.499 0.002
Er 0.763 0.439 0.528


DFT (PBE-GGA) results for a geometry-optimized LaHoEr structure.

Results
Total DFT energy (no corrections) (eV for the cell shown): -27.09
Energy above the most stable polymorph in this dataset (eV/atom): 0.153

Cell lengths 6.456, 3.532, 8.812 Å; angles 90.00, 90.00, 90.00 degrees
Element x y z (fractional)
La 0.250 0.000 0.153
La 0.750 0.000 0.847
Ho 0.250 0.500 0.799
Ho 0.750 0.500 0.201
Er 0.000 0.000 0.500
Er 0.500 0.000 0.500


DFT (PBE-GGA) results for a geometry-optimized La2Ho3Er5 structure.

Results
Total DFT energy (no corrections) (eV for the cell shown): -88.47

Cell lengths 9.018, 9.018, 9.690 Å; angles 106.04, 106.04, 105.77 degrees
Element x y z (fractional)
La 0.048 0.296 0.044
La 0.296 0.048 0.544
La 0.704 0.952 0.456
La 0.952 0.704 0.956
Ho 0.201 0.454 0.421
Ho 0.274 0.726 0.250
Ho 0.454 0.201 0.921
Ho 0.546 0.799 0.079
Ho 0.726 0.274 0.750
Ho 0.799 0.546 0.579
Er 0.033 0.967 0.750
Er 0.077 0.326 0.674
Er 0.252 0.748 0.750
Er 0.326 0.077 0.174
Er 0.496 0.504 0.750
Er 0.504 0.496 0.250
Er 0.674 0.923 0.826
Er 0.748 0.252 0.250
Er 0.923 0.674 0.326
Er 0.967 0.033 0.250


DFT (PBE-GGA) results for a geometry-optimized La2Ho2Er7 structure.

Results
Total DFT energy (no corrections) (eV for the cell shown): -49.12
Energy above the most stable polymorph in this dataset (eV/atom): 0.000

Cell lengths 8.061, 8.061, 6.034 Å; angles 106.20, 106.20, 91.76 degrees
Element x y z (fractional)
La 0.211 0.789 0.000
La 0.789 0.211 0.000
Ho 0.404 0.404 0.688
Ho 0.596 0.596 0.312
Er 0.000 0.000 0.500
Er 0.063 0.592 0.330
Er 0.240 0.240 0.082
Er 0.408 0.937 0.670
Er 0.592 0.063 0.330
Er 0.760 0.760 0.918
Er 0.937 0.408 0.670


DFT (PBE-GGA) results for a geometry-optimized LaHoEr2 structure.

Results
Total DFT energy (no corrections) (eV for the cell shown): -18.53
Energy above the most stable polymorph in this dataset (eV/atom): 0.015

Cell lengths 11.778, 11.778, 11.778 Å; angles 17.46, 17.46, 17.46 degrees
Element x y z (fractional)
La 0.000 0.000 0.000
Ho 0.500 0.500 0.500
Er 0.248 0.248 0.248
Er 0.752 0.752 0.752


DFT (PBE-GGA) results for a geometry-optimized La3Ho5Er2 structure.

Results
Total DFT energy (no corrections) (eV for the cell shown): -89.72

Cell lengths 9.741, 9.741, 9.345 Å; angles 108.23, 108.23, 113.39 degrees
Element x y z (fractional)
La 0.016 0.268 0.043
La 0.236 0.764 0.750
La 0.268 0.016 0.543
La 0.732 0.984 0.457
La 0.764 0.236 0.250
La 0.984 0.732 0.957
Ho 0.026 0.974 0.750
Ho 0.155 0.374 0.774
Ho 0.275 0.725 0.250
Ho 0.374 0.155 0.274
Ho 0.470 0.530 0.250
Ho 0.530 0.470 0.750
Ho 0.626 0.845 0.726
Ho 0.725 0.275 0.750
Ho 0.845 0.626 0.226
Ho 0.974 0.026 0.250
Er 0.234 0.464 0.454
Er 0.464 0.234 0.954
Er 0.536 0.766 0.046
Er 0.766 0.536 0.546


DFT (PBE-GGA) results for a geometry-optimized La15HoEr4 structure.

Results
Total DFT energy (no corrections) (eV for the cell shown): -96.61

Cell lengths 5.196, 5.196, 25.985 Å; angles 90.00, 90.00, 90.00 degrees
Element x y z (fractional)
La 0.000 0.000 0.000
La 0.000 0.000 0.200
La 0.000 0.000 0.400
La 0.000 0.000 0.600
La 0.000 0.000 0.800
La 0.000 0.500 0.100
La 0.000 0.500 0.300
La 0.000 0.500 0.500
La 0.000 0.500 0.700
La 0.000 0.500 0.900
La 0.500 0.000 0.100
La 0.500 0.000 0.300
La 0.500 0.000 0.500
La 0.500 0.000 0.700
La 0.500 0.000 0.900
Ho 0.500 0.500 0.000
Er 0.500 0.500 0.200
Er 0.500 0.500 0.400
Er 0.500 0.500 0.600
Er 0.500 0.500 0.800


DFT (PBE-GGA) results for a geometry-optimized La2Ho3Er6 structure.

Results
Total DFT energy (no corrections) (eV for the cell shown): -48.94
Energy above the most stable polymorph in this dataset (eV/atom): 0.000

Cell lengths 6.077, 6.077, 11.753 Å; angles 94.97, 94.97, 120.04 degrees
Element x y z (fractional)
La 0.167 0.833 0.000
La 0.833 0.167 0.000
Ho 0.000 0.000 0.500
Ho 0.335 0.665 0.500
Ho 0.665 0.335 0.500
Er 0.081 0.415 0.744
Er 0.252 0.252 0.256
Er 0.415 0.081 0.744
Er 0.585 0.919 0.256
Er 0.748 0.748 0.744
Er 0.919 0.585 0.256